Entry 1:
First-principles (PBEsol) data for AlRuPb2 after structural relaxation, as listed in Alexandria via LeMat-Bulk.

a = 3.9458 Å, b = 4.2365 Å, c = 5.3377 Å
α = 90.00°, β = 111.69°, γ = 90.00°
Closest atoms and distances in Å follow each position.
Positions (direct):
1 Pb 0.1011 0.0000 0.2022  3 Ru 2.87, 4 Al 3.01
2 Pb 0.4011 0.5000 0.8022  3 Al 2.81-2.92, 4 Ru 3.03
3 Ru 0.8114 0.0000 0.6228  2 Al 2.46
4 Al 0.6844 0.5000 0.3687  2 Ru 2.46

The space group is Amm2, No. 38. For the magnetic moment, the calculation gives 0.00 μB/f.u. As for the volume: 20.7 Å³ per atom. For the formation energy, the calculation gives 0.7 eV/f.u.

---

Entry 2:
First-principles (PBEsol) data for BeRhSe2N after structural relaxation, as listed in Alexandria via LeMat-Bulk.

a = 3.0118 Å, b = 4.7388 Å, c = 4.7388 Å
α = 90.00°, β = 90.00°, γ = 90.00°
Closest atoms and distances in Å follow each position.
Positions (direct):
1 Be 0.0000 0.0000 0.0000  2 N 1.51
2 Rh 0.5000 0.5000 0.5000  8 Se 2.81, 2 Rh 3.01
3 Se 0.0000 0.0000 0.5000  2 Be 2.37
4 Se 0.0000 0.5000 0.0000  2 Be 2.37
5 N 0.5000 0.0000 0.0000  2 Be 1.51

The space group is P4/mmm, No. 123. For the magnetic moment, the calculation gives 0.00 μB/f.u. As for the volume: 13.5 Å³ per atom. The value obtained for the raw total energy is -5.230 eV/atom.

---

Entry 3:
First-principles (PBEsol) data for CaMgCd2 after structural relaxation, as listed in Alexandria via LeMat-Bulk.

a = 3.4904 Å, b = 3.4907 Å, c = 7.7035 Å
α = 90.00°, β = 90.00°, γ = 90.00°
Closest atoms and distances in Å follow each position.
Positions (direct):
1 Ca 0.5000 0.5000 0.5000  8 Cd 3.26, 4 Ca 3.49
2 Mg 0.5000 0.5000 0.0000  8 Cd 3.01
3 Cd 0.0000 0.0000 0.7770  4 Mg 3.01, 4 Ca 3.26
4 Cd 0.0000 0.0000 0.2230  4 Mg 3.01, 4 Ca 3.26

The space group is P4/mmm, No. 123. For the magnetic moment, the calculation gives 0.00 μB/f.u. As for the volume: 23.5 Å³ per atom. For the formation energy, the calculation gives -1.0 eV/f.u.

---

Entry 4:
First-principles (PBEsol) data for Ta4TlAg after structural relaxation, as listed in Alexandria via LeMat-Bulk.

a = 5.4557 Å, b = 5.4557 Å, c = 5.4557 Å
α = 60.00°, β = 60.00°, γ = 60.00°
Closest atoms and distances in Å follow each position.
Positions (direct):
1 Ag 0.0000 0.0000 0.0000  12 Ta 3.20, 4 Tl 3.34
2 Ta 0.3750 0.3750 0.3750  6 Ta 2.73
3 Ta 0.3750 0.3750 0.8749  6 Ta 2.73
4 Ta 0.8749 0.3750 0.3750  6 Ta 2.73
5 Ta 0.3750 0.8749 0.3750  6 Ta 2.73
6 Tl 0.7500 0.7500 0.7500  12 Ta 3.20, 4 Ag 3.34

The space group is F-43m, No. 216. For the magnetic moment, the calculation gives 0.00 μB/f.u. As for the volume: 19.1 Å³ per atom. For the formation energy, the calculation gives 3.6 eV/f.u.

---

Entry 5:
First-principles (PBEsol) data for K2Cd2In after structural relaxation, as listed in Alexandria via LeMat-Bulk.

a = 5.7032 Å, b = 7.5680 Å, c = 7.5680 Å
α = 90.00°, β = 90.00°, γ = 90.00°
Closest atoms and distances in Å follow each position.
Positions (direct):
1 K 0.5000 0.1786 0.6786  6 Cd 3.48-3.73, 1 K 3.82
2 K 0.5000 0.6786 0.8214  6 Cd 3.48-3.73, 1 K 3.82
3 K 0.5000 0.8214 0.3214  6 Cd 3.48-3.73, 1 K 3.82
4 K 0.5000 0.3214 0.1786  6 Cd 3.48-3.73, 1 K 3.82
5 Cd 0.0000 0.3648 0.8648  1 Cd 2.89, 2 In 2.94
6 Cd 0.0000 0.8648 0.6352  1 Cd 2.89, 2 In 2.94
7 Cd 0.0000 0.6352 0.1352  1 Cd 2.89, 2 In 2.94
8 Cd 0.0000 0.1352 0.3648  1 Cd 2.89, 2 In 2.94
9 In 0.0000 0.0000 0.0000  4 Cd 2.94
10 In 0.0000 0.5000 0.5000  4 Cd 2.94

The space group is P4/mbm, No. 127. For the magnetic moment, the calculation gives 0.00 μB/f.u. As for the volume: 32.7 Å³ per atom. For the formation energy, the calculation gives -0.1 eV/f.u.

---

Entry 6:
First-principles (PBEsol) data for SiNi2O4 after structural relaxation, as listed in Alexandria via LeMat-Bulk.

a = 5.6646 Å, b = 5.6646 Å, c = 5.6646 Å
α = 60.00°, β = 60.00°, γ = 60.00°
Closest atoms and distances in Å follow each position.
Positions (direct):
1 Si 0.5000 0.5000 0.5000  4 O 1.66
2 Si 0.7500 0.7500 0.7500  4 O 1.66
3 Ni 0.1250 0.1250 0.6250  6 O 2.04
4 Ni 0.1250 0.6250 0.1250  6 O 2.04
5 Ni 0.1250 0.1250 0.1250  6 O 2.04
6 Ni 0.6250 0.1250 0.1250  6 O 2.04
7 O 0.8699 0.8699 0.3903  1 Si 1.66
8 O 0.3801 0.8597 0.3801  1 Si 1.66
9 O 0.8597 0.3801 0.3801  1 Si 1.66
10 O 0.3801 0.3801 0.3801  1 Si 1.66
11 O 0.3903 0.8699 0.8699  1 Si 1.66
12 O 0.8699 0.8699 0.8699  1 Si 1.66
13 O 0.3801 0.3801 0.8597  1 Si 1.66
14 O 0.8699 0.3903 0.8699  1 Si 1.66

The space group is Fd-3m, No. 227. For the magnetic moment, the calculation gives 4.02 μB/f.u. As for the volume: 9.2 Å³ per atom. The value obtained for the raw total energy is -7.072 eV/atom.

---

Entry 7:
First-principles (PBEsol) data for Ti3AlNi12 after structural relaxation, as listed in Alexandria via LeMat-Bulk.

a = 5.0169 Å, b = 5.0169 Å, c = 8.1722 Å
α = 90.00°, β = 90.00°, γ = 120.00°
Closest atoms and distances in Å follow each position.
Positions (direct):
1 Ti 0.6667 0.3333 0.0000  12 Ni 2.51
2 Ti 0.0000 0.0000 0.2485  12 Ni 2.51-2.54
3 Ti 0.0000 0.0000 0.7515  12 Ni 2.51-2.54
4 Al 0.3333 0.6667 0.5000  12 Ni 2.50-2.51
5 Ni 0.8283 0.6565 0.5000  8 Ni 2.43-2.58, 2 Al 2.51, 2 Ti 2.54
6 Ni 0.8283 0.1717 0.5000  8 Ni 2.43-2.58, 2 Al 2.51, 2 Ti 2.54
7 Ni 0.3435 0.1717 0.5000  8 Ni 2.43-2.58, 2 Al 2.51, 2 Ti 2.54
8 Ni 0.1724 0.3449 0.0000  8 Ni 2.42-2.60, 4 Ti 2.51-2.52
9 Ni 0.1724 0.8276 0.0000  8 Ni 2.42-2.60, 4 Ti 2.51-2.52
10 Ni 0.6551 0.8276 0.0000  8 Ni 2.42-2.60, 4 Ti 2.51-2.52
11 Ni 0.0000 0.5000 0.2504  8 Ni 2.49-2.51, 1 Al 2.50, 3 Ti 2.51
12 Ni 0.5000 0.0000 0.2504  8 Ni 2.49-2.51, 1 Al 2.50, 3 Ti 2.51
13 Ni 0.5000 0.5000 0.2504  8 Ni 2.49-2.51, 1 Al 2.50, 3 Ti 2.51
14 Ni 0.0000 0.5000 0.7496  8 Ni 2.49-2.51, 1 Al 2.50, 3 Ti 2.51
15 Ni 0.5000 0.0000 0.7496  8 Ni 2.49-2.51, 1 Al 2.50, 3 Ti 2.51
16 Ni 0.5000 0.5000 0.7496  8 Ni 2.49-2.51, 1 Al 2.50, 3 Ti 2.51

The space group is P-6m2, No. 187. For the magnetic moment, the calculation gives 0.00 μB/f.u. As for the volume: 11.1 Å³ per atom. For the formation energy, the calculation gives -8.0 eV/f.u.

---

Entry 8:
First-principles (PBEsol) data for SrCa5 after structural relaxation, as listed in Alexandria via LeMat-Bulk.

a = 3.8999 Å, b = 6.4279 Å, c = 10.3236 Å
α = 90.00°, β = 100.89°, γ = 90.00°
Closest atoms and distances in Å follow each position.
Positions (direct):
1 Sr 0.1111 0.5000 0.2221  2 Sr 3.90, 10 Ca 3.94-3.95
2 Ca 0.9982 0.0000 0.9964  10 Ca 3.88-3.97, 2 Sr 3.95
3 Ca 0.3330 0.0000 0.6661  12 Ca 3.86-3.91
4 Ca 0.6687 0.0000 0.3375  8 Ca 3.86-3.97, 4 Sr 3.94
5 Ca 0.4416 0.5000 0.8831  10 Ca 3.80-3.93, 2 Sr 3.95
6 Ca 0.7807 0.5000 0.5614  10 Ca 3.80-3.93, 2 Sr 3.95

The space group is Amm2, No. 38. For the magnetic moment, the calculation gives 0.00 μB/f.u. As for the volume: 42.4 Å³ per atom. For the formation energy, the calculation gives 0.1 eV/f.u.

---

Entry 9:
First-principles (PBEsol) data for MnCuNi6 after structural relaxation, as listed in Alexandria via LeMat-Bulk.

a = 6.0483 Å, b = 6.0483 Å, c = 9.8657 Å
α = 90.00°, β = 90.00°, γ = 109.50°
Closest atoms and distances in Å follow each position.
Positions (direct):
1 Cu 0.2510 0.7490 0.5000  12 Ni 2.46-2.48
2 Cu 0.7490 0.2510 0.5000  12 Ni 2.46-2.48
3 Cu 0.0000 0.0000 0.7488  12 Ni 2.45-2.48
4 Cu 0.0000 0.0000 0.2512  12 Ni 2.45-2.48
5 Mn 0.2519 0.7481 0.0000  12 Ni 2.45-2.49
6 Mn 0.7481 0.2519 0.0000  12 Ni 2.45-2.49
7 Mn 0.5000 0.5000 0.7494  12 Ni 2.46-2.47
8 Mn 0.5000 0.5000 0.2506  12 Ni 2.46-2.47
9 Ni 0.2505 0.7495 0.7502  2 Mn 2.46-2.47, 8 Ni 2.47, 2 Cu 2.47
10 Ni 0.8757 0.6258 0.8748  3 Mn 2.46-2.48, 8 Ni 2.47, 1 Cu 2.47
11 Ni 0.1243 0.3742 0.8748  3 Mn 2.46-2.48, 8 Ni 2.47, 1 Cu 2.47
12 Ni 0.7495 0.2505 0.7502  2 Mn 2.46-2.47, 8 Ni 2.47, 2 Cu 2.47
13 Ni 0.3742 0.1243 0.8748  3 Mn 2.46-2.48, 8 Ni 2.47, 1 Cu 2.47
14 Ni 0.6258 0.8757 0.8748  3 Mn 2.46-2.48, 8 Ni 2.47, 1 Cu 2.47
15 Ni 0.5000 0.5000 0.5000  2 Cu 2.46, 2 Mn 2.46, 8 Ni 2.47
16 Ni 0.1242 0.3746 0.6248  3 Cu 2.46-2.47, 8 Ni 2.46-2.47, 1 Mn 2.47
17 Ni 0.3746 0.1242 0.6248  3 Cu 2.46-2.47, 8 Ni 2.46-2.47, 1 Mn 2.47
18 Ni 0.2505 0.7495 0.2498  2 Mn 2.46-2.47, 8 Ni 2.47, 2 Cu 2.47
19 Ni 0.8758 0.6254 0.3752  3 Cu 2.46-2.47, 8 Ni 2.46-2.47, 1 Mn 2.47
20 Ni 0.1242 0.3746 0.3752  3 Cu 2.46-2.47, 8 Ni 2.46-2.47, 1 Mn 2.47
21 Ni 0.7495 0.2505 0.2498  2 Mn 2.46-2.47, 8 Ni 2.47, 2 Cu 2.47
22 Ni 0.3746 0.1242 0.3752  3 Cu 2.46-2.47, 8 Ni 2.46-2.47, 1 Mn 2.47
23 Ni 0.6254 0.8758 0.3752  3 Cu 2.46-2.47, 8 Ni 2.46-2.47, 1 Mn 2.47
24 Ni 0.5000 0.5000 0.0000  4 Mn 2.45-2.47, 8 Ni 2.47
25 Ni 0.1243 0.3742 0.1252  3 Mn 2.46-2.48, 8 Ni 2.47, 1 Cu 2.47
26 Ni 0.3742 0.1243 0.1252  3 Mn 2.46-2.48, 8 Ni 2.47, 1 Cu 2.47
27 Ni 0.0000 0.0000 0.5000  4 Cu 2.45-2.48, 8 Ni 2.47
28 Ni 0.6254 0.8758 0.6248  3 Cu 2.46-2.47, 8 Ni 2.46-2.47, 1 Mn 2.47
29 Ni 0.8758 0.6254 0.6248  3 Cu 2.46-2.47, 8 Ni 2.46-2.47, 1 Mn 2.47
30 Ni 0.0000 0.0000 0.0000  8 Ni 2.47, 2 Cu 2.48, 2 Mn 2.49
31 Ni 0.6258 0.8757 0.1252  3 Mn 2.46-2.48, 8 Ni 2.47, 1 Cu 2.47
32 Ni 0.8757 0.6258 0.1252  3 Mn 2.46-2.48, 8 Ni 2.47, 1 Cu 2.47

The space group is Cmmm, No. 65. For the magnetic moment, the calculation gives 6.05 μB/f.u. As for the volume: 10.6 Å³ per atom. For the formation energy, the calculation gives -0.1 eV/f.u.

---

Entry 10:
First-principles (PBEsol) data for EuCdAu5 after structural relaxation, as listed in Alexandria via LeMat-Bulk.

a = 5.4186 Å, b = 5.7086 Å, c = 5.7086 Å
α = 76.98°, β = 61.67°, γ = 61.67°
Closest atoms and distances in Å follow each position.
Positions (direct):
1 Eu 0.0000 0.0000 0.0000  12 Au 3.06-3.34
2 Cd 0.2500 0.5000 0.5000  10 Au 2.71-2.91
3 Au 0.6951 0.6099 0.0000  6 Au 2.77-2.93, 2 Cd 2.91, 1 Eu 3.06
4 Au 0.3049 0.3901 0.0000  6 Au 2.77-2.93, 2 Cd 2.91, 1 Eu 3.06
5 Au 0.3049 0.0000 0.3901  6 Au 2.77-2.93, 2 Cd 2.91, 1 Eu 3.06
6 Au 0.6951 0.0000 0.6099  6 Au 2.77-2.93, 2 Cd 2.91, 1 Eu 3.06
7 Au 0.7500 0.5000 0.5000  2 Cd 2.71, 8 Au 2.91

The space group is I-4m2, No. 119. For the magnetic moment, the calculation gives 6.93 μB/f.u. As for the volume: 19.5 Å³ per atom. For the formation energy, the calculation gives -3.0 eV/f.u.

---

Entry 11:
First-principles (PBEsol) data for HgOsSe4 after structural relaxation, as listed in Alexandria via LeMat-Bulk.

a = 5.5078 Å, b = 5.5078 Å, c = 5.5078 Å
α = 60.00°, β = 60.00°, γ = 60.00°
Closest atoms and distances in Å follow each position.
Positions (direct):
1 Hg 0.7500 0.7500 0.7500  12 Se 3.23, 4 Os 3.37
2 Os 0.0000 0.0000 0.0000  12 Se 3.23, 4 Hg 3.37
3 Se 0.3743 0.3743 0.3743  6 Se 2.74-2.77
4 Se 0.3743 0.3743 0.8771  6 Se 2.74-2.77
5 Se 0.8771 0.3743 0.3743  6 Se 2.74-2.77
6 Se 0.3743 0.8771 0.3743  6 Se 2.74-2.77

The space group is F-43m, No. 216. For the magnetic moment, the calculation gives 1.58 μB/f.u. As for the volume: 19.7 Å³ per atom. The value obtained for the raw total energy is -3.437 eV/atom.

---

Entry 12:
First-principles (PBEsol) data for CaWSe after structural relaxation, as listed in Alexandria via LeMat-Bulk.

a = 3.2627 Å, b = 3.2627 Å, c = 6.0288 Å
α = 105.70°, β = 105.70°, γ = 90.00°
Closest atoms and distances in Å follow each position.
Positions (direct):
1 Ca 0.9995 0.9995 0.9990  5 Se 3.20-3.35, 5 W 3.21-3.34, 4 Ca 3.26
2 Se 0.3005 0.3005 0.6009  4 W 2.56
3 W 0.7000 0.7000 0.4000  4 Se 2.56

The space group is I4mm, No. 107. For the magnetic moment, the calculation gives 0.00 μB/f.u. As for the volume: 19.8 Å³ per atom. The value obtained for the raw total energy is -6.633 eV/atom.

---

Look up the magnetic moment of the tenth one.
6.93 μB/f.u.

---

Which value of magnetic moment does entry 7 give?
0.00 μB/f.u.

---

What is the magnetic moment in the ninth record?
6.05 μB/f.u.